The following is a PBE calculation of PmEr2Cd8 after structural relaxation, from Alexandria via LeMat-Bulk.

The structure in POSCAR format:
```
PmEr2Cd8
1.0
4.067 -7.942 0.000
4.067 7.942 0.000
-3.362 0.000 4.147
Pm Er Cd
1 2 8
direct
0.000 0.000 0.000
0.311 0.689 0.500
0.689 0.311 0.500
0.101 0.364 0.744
0.202 0.798 0.000
0.364 0.101 0.744
0.488 0.488 0.736
0.512 0.512 0.264
0.636 0.899 0.256
0.798 0.202 0.000
0.899 0.636 0.256
```

Computed properties:
Space-group type: C2/m (12)
E in eV per atom: -2.17
Magnetization in μB per formula unit: 0.00
Crystal system: monoclinic